Entry 1:
# Hg3SbC, relaxed, DFT GGA-PBEsol
# Raw formation energy ... 1650 meV/atom
data_Hg3SbC
_symmetry_space_group_name_H-M 'P m -3 m'
_symmetry_Int_Tables_number 221
_symmetry_space_group_name_Hall '-P 4 2 3'
_cell_length_a 5.602
_cell_length_b 5.602
_cell_length_c 5.602
_cell_angle_alpha 90.00
_cell_angle_beta 90.00
_cell_angle_gamma 90.00
loop_
_atom_site_label
_atom_site_type_symbol
_atom_site_fract_x
_atom_site_fract_y
_atom_site_fract_z
Hg1 Hg 0.000 0.000 0.500
Sb1 Sb 0.000 0.000 0.000
C1 C 0.500 0.500 0.500



Entry 2:
Entry from Alexandria: a geometry-optimized LaZnTc2 structure (GGA-PBEsol).

```
data_LaZnTc2
_symmetry_space_group_name_H-M 'I m m 2'
_symmetry_Int_Tables_number 44
_symmetry_space_group_name_Hall 'I 2 -2'
_cell_length_a 3.138
_cell_length_b 4.711
_cell_length_c 9.716
_cell_angle_alpha 90.00
_cell_angle_beta 90.00
_cell_angle_gamma 90.00
loop_
_atom_site_label
_atom_site_type_symbol
_atom_site_fract_x
_atom_site_fract_y
_atom_site_fract_z
La1 La 0.000 0.000 0.000
Zn1 Zn 0.000 0.500 0.787
Tc1 Tc 0.000 0.000 0.531
Tc2 Tc 0.000 0.500 0.234
```



Entry 3:
Entry from Alexandria: a geometry-optimized Ga2Ni21B6 structure (GGA-PBEsol).

```
data_Ga2Ni21B6
_symmetry_space_group_name_H-M 'F m -3 m'
_symmetry_Int_Tables_number 225
_symmetry_space_group_name_Hall '-F 4 2 3'
_cell_length_a 10.342
_cell_length_b 10.342
_cell_length_c 10.342
_cell_angle_alpha 90.00
_cell_angle_beta 90.00
_cell_angle_gamma 90.00
loop_
_atom_site_label
_atom_site_type_symbol
_atom_site_fract_x
_atom_site_fract_y
_atom_site_fract_z
Ga1 Ga 0.250 0.250 0.250
Ni1 Ni 0.000 0.000 0.000
Ni2 Ni 0.000 0.169 0.169
Ni3 Ni 0.118 0.118 0.382
B1 B 0.000 0.000 0.273
```



Entry 4:
# OsRuPt2, relaxed, DFT GGA-PBEsol
# E above lowest polymorph ... 21 meV/atom
data_OsRuPt2
_symmetry_space_group_name_H-M 'R 3 m'
_symmetry_Int_Tables_number 160
_symmetry_space_group_name_Hall 'R 3 -2"'
_cell_length_a 2.7156
_cell_length_b 2.7156
_cell_length_c 26.9116
_cell_angle_alpha 90.00
_cell_angle_beta 90.00
_cell_angle_gamma 120.00
loop_
_atom_site_label
_atom_site_type_symbol
_atom_site_fract_x
_atom_site_fract_y
_atom_site_fract_z
Os1 Os 0.0000 0.0000 0.0000
Ru1 Ru 0.0000 0.0000 0.2570
Pt1 Pt 0.0000 0.0000 0.5059
Pt2 Pt 0.0000 0.0000 0.7514



Number 1: DFT total energy -1.5306 eV per atom. Number 2: DFT total energy -6.9867 eV per atom. Number 3: DFT total energy -6.4913 eV per atom. Number 4: DFT total energy -9.0688 eV per atom.